Record 1
5
Lattice="4.729 0.000 0.000 0.000 4.419 0.000 0.000 0.000 4.729" Properties=species:S:1:pos:R:3 comment="PBE RbNiIrRh2, optimized geometry" space_group="P4/mmm, No. 123" magnetic_moment_mub_per_atom=0.45 crystal_system=tetragonal formation_enthalpy_0k_ev_per_atom=2.67 pbc="T T T"
Ir 2.364 2.210 2.364
Rb 0.000 0.000 0.000
Rh 0.000 0.000 2.364
Rh 2.364 0.000 0.000
Ni 0.000 2.210 0.000

---

Record 2
5
Lattice="5.193 0.000 0.000 0.000 6.629 0.000 0.000 0.000 5.193" Properties=species:S:1:pos:R:3 comment="PBE RbTcHgN2, optimized geometry" space_group="P4/mmm, No. 123" magnetic_moment_mub_per_atom=1.94 total_energy_ev_per_atom=-2.75 crystal_system=tetragonal pbc="T T T"
Rb 0.000 0.000 0.000
Tc 0.000 3.315 0.000
N 2.597 0.000 0.000
N 0.000 0.000 2.597
Hg 2.597 3.315 2.597

---

Record 3
4
Lattice="-2.915 -1.599 -4.418 2.498 -0.579 -4.899 0.760 -5.043 -2.137" Properties=species:S:1:pos:R:3 comment="PBE PrHo2Tl, optimized geometry" space_group="F-43m, No. 216" magnetic_moment_mub_per_atom=0.31 crystal_system=cubic formation_enthalpy_0k_ev_per_atom=-0.04 pbc="T T T"
Pr 0.172 -3.611 -5.727
Ho 0.760 -5.042 -2.137
Ho 0.085 -1.804 -2.864
Tl 0.257 -5.415 -8.590

---

Record 4
8
Lattice="6.490 0.455 1.803 0.941 6.437 1.803 4.309 3.996 8.070" Properties=species:S:1:pos:R:3 comment="PBE NaTl6Ga, optimized geometry" space_group="C2/m, No. 12" magnetic_moment_mub_per_atom=0.00 crystal_system=monoclinic formation_enthalpy_0k_ev_per_atom=0.06 pbc="T T T"
Tl 9.880 9.163 10.151
Tl 4.652 2.147 3.519
Tl 7.087 8.741 8.158
Tl 9.249 6.411 8.158
Tl 1.860 1.725 1.526
Tl 2.491 4.478 3.519
Ga 0.000 0.000 0.000
Na 5.870 5.444 5.839

---

Record 5
5
Lattice="-3.737 -1.025 0.686 0.996 -3.960 -0.494 0.819 -0.295 4.020" Properties=species:S:1:pos:R:3 comment="PBE CeNiHRh2, optimized geometry" space_group="P4/mmm, No. 123" magnetic_moment_mub_per_atom=0.04 total_energy_ev_per_atom=-6.46 crystal_system=tetragonal pbc="T T T"
Ce -0.961 -2.640 2.106
H 0.000 0.000 0.000
Rh 0.498 -1.980 -0.247
Rh 0.409 -0.148 2.010
Ni -1.868 -0.512 0.343

---

Record 6
8
Lattice="-0.437 -1.677 -5.522 2.078 -4.340 1.154 -7.094 -2.960 1.642" Properties=species:S:1:pos:R:3 comment="PBE InAg2I, optimized geometry" space_group="P2_1/m, No. 11" magnetic_moment_mub_per_atom=0.00 total_energy_ev_per_atom=-2.54 crystal_system=monoclinic pbc="T T T"
In -2.853 -3.058 -1.060
In -2.601 -5.919 -1.666
I 0.435 -4.837 -3.062
I -5.889 -4.140 0.336
Ag -1.017 -1.733 0.619
Ag -4.437 -7.245 -3.345
Ag -3.884 -4.239 -3.647
Ag -1.570 -4.738 0.921

---

Record 7
5
Lattice="4.428 0.000 0.000 0.000 4.428 0.000 0.000 0.000 4.428" Properties=species:S:1:pos:R:3 comment="PBE Co3PW, optimized geometry" space_group="Pm-3m, No. 221" magnetic_moment_mub_per_atom=0.00 crystal_system=cubic formation_enthalpy_0k_ev_per_atom=1.72 pbc="T T T"
W 0.000 0.000 0.000
Co 0.000 2.214 0.000
Co 2.214 0.000 0.000
Co 0.000 0.000 2.214
P 2.214 2.214 2.214

---

Record 8
6
Lattice="-2.098 2.356 -1.986 -1.711 -2.266 -4.379 -5.937 0.844 3.774" Properties=species:S:1:pos:R:3 comment="PBE CaDyPd4, optimized geometry" space_group="C2/m, No. 12" magnetic_moment_mub_per_atom=0.00 crystal_system=monoclinic formation_enthalpy_0k_ev_per_atom=-0.62 pbc="T T T"
Pd -2.264 -0.678 -1.912
Pd -6.993 -0.089 -3.214
Pd -7.482 1.612 -0.680
Pd -2.753 1.023 0.623
Ca 0.000 0.000 0.000
Dy -4.873 0.467 -1.296

---

Record 9
8
Lattice="-3.176 3.472 1.070 -1.972 -0.454 -4.380 -6.104 -6.644 3.437" Properties=species:S:1:pos:R:3 comment="PBE Y6AlTl, optimized geometry" space_group="P4/mmm, No. 123" magnetic_moment_mub_per_atom=0.15 crystal_system=tetragonal formation_enthalpy_0k_ev_per_atom=-0.19 pbc="T T T"
Y -5.626 -1.813 0.064
Y -3.161 0.024 1.421
Y -5.517 -5.158 0.361
Y -6.119 -3.196 3.086
Y -2.574 1.509 -1.655
Y -2.559 -1.939 -1.304
Tl 0.000 0.000 0.000
Al -3.052 -3.322 1.719

---

Record 10
18
Lattice="3.932 0.000 0.000 -1.966 8.898 0.000 0.000 0.000 12.633" Properties=species:S:1:pos:R:3 comment="PBE AlSbPb2S5, optimized geometry" space_group="Cmc2_1, No. 36" magnetic_moment_mub_per_atom=0.00 total_energy_ev_per_atom=-4.59 crystal_system=orthorhombic pbc="T T T"
S 0.000 8.676 9.603
S 0.000 5.833 4.751
S 0.000 6.042 0.243
S 1.966 3.742 2.324
S 0.000 0.247 0.043
S 1.966 8.651 6.359
S 1.966 3.065 11.068
S 0.000 5.156 8.641
S 1.966 2.856 6.560
S 1.966 0.222 3.286
Pb 0.000 2.048 4.278
Pb 1.966 6.641 2.365
Pb 0.000 2.257 8.682
Pb 1.966 6.850 10.595
Sb 0.000 3.549 0.506
Sb 1.966 5.349 6.822
Al 0.000 8.047 5.245
Al 1.966 0.851 11.561

---

Record 11
4
Lattice="-2.078 2.268 -3.716 0.100 -1.982 -4.397 -5.365 -2.486 -1.649" Properties=species:S:1:pos:R:3 comment="PBE LaPmGe2, optimized geometry" space_group="R-3m, No. 166" magnetic_moment_mub_per_atom=0.00 crystal_system=trigonal formation_enthalpy_0k_ev_per_atom=-0.66 pbc="T T T"
Ge -1.910 -0.591 -2.424
Ge -5.432 -1.609 -7.338
La 0.000 0.000 0.000
Pm -3.671 -1.100 -4.881

---

Record 12
18
Lattice="8.935 0.000 0.000 0.000 8.935 0.000 -4.468 -4.468 7.228" Properties=species:S:1:pos:R:3 comment="PBE LaHo2ErTm5, optimized geometry" space_group="I4/mcm, No. 140" magnetic_moment_mub_per_atom=0.00 crystal_system=tetragonal formation_enthalpy_0k_ev_per_atom=0.29 pbc="T T T"
Ho 3.468 7.935 0.000
Ho 5.467 1.000 0.000
Ho 1.000 3.468 0.000
Ho 7.935 5.467 0.000
Tm 7.110 2.642 1.873
Tm 2.642 1.825 1.873
Tm 4.468 4.468 0.000
Tm 2.642 -1.825 5.354
Tm 6.293 7.110 1.873
Tm -1.825 -2.642 5.354
Tm 0.000 0.000 0.000
Tm 1.825 6.293 1.873
Tm -2.642 1.825 5.354
Tm 1.825 2.642 5.354
Er 0.000 4.468 3.614
Er 4.468 0.000 3.614
La 4.468 4.468 3.614
La 0.000 0.000 3.614

---

Record 13
10
Lattice="-1.822 -3.010 0.158 3.508 -2.416 -5.581 5.027 -0.461 9.943" Properties=species:S:1:pos:R:3 comment="PBE Li2PmMg2, optimized geometry" space_group="C2/m, No. 12" magnetic_moment_mub_per_atom=0.00 crystal_system=monoclinic formation_enthalpy_0k_ev_per_atom=-0.04 pbc="T T T"
Pm 0.877 -0.604 -1.395
Pm 0.809 -4.822 -4.028
Mg 2.467 -3.622 -1.299
Mg 6.000 -3.473 3.028
Mg 0.713 -2.415 1.492
Mg 4.246 -2.266 5.819
Li 3.671 -2.168 1.027
Li 3.042 -3.720 3.493
Li 1.917 -0.960 3.817
Li 4.797 -4.927 0.703

---

Record 14
5
Lattice="-2.747 2.105 -2.000 -2.422 -0.143 3.176 1.601 3.395 1.374" Properties=species:S:1:pos:R:3 comment="PBE HPd3Ru, optimized geometry" space_group="Pm-3m, No. 221" magnetic_moment_mub_per_atom=0.54 total_energy_ev_per_atom=-5.43 crystal_system=cubic pbc="T T T"
Pd 0.801 1.697 0.687
Pd -1.373 1.052 -1.000
Pd -1.211 -0.072 1.588
Ru -1.784 2.678 1.275
H 0.000 0.000 0.000

---

Record 15
5
Lattice="-2.290 2.616 -4.296 -5.021 -1.471 1.780 -0.301 4.641 2.986" Properties=species:S:1:pos:R:3 comment="PBE NaGd3Ir, optimized geometry" space_group="Pm-3m, No. 221" magnetic_moment_mub_per_atom=4.26 crystal_system=cubic formation_enthalpy_0k_ev_per_atom=-0.26 pbc="T T T"
Gd -1.145 1.308 -2.148
Gd -0.151 2.320 1.493
Gd -2.511 -0.736 0.890
Ir 0.000 0.000 0.000
Na -3.806 2.893 0.235

---

Record 16
4
Lattice="-1.853 -2.394 0.060 1.719 -1.277 2.140 -4.253 3.428 5.463" Properties=species:S:1:pos:R:3 comment="PBE YTaCr2, optimized geometry" space_group="P4mm, No. 99" magnetic_moment_mub_per_atom=0.18 crystal_system=tetragonal formation_enthalpy_0k_ev_per_atom=0.34 pbc="T T T"
Cr -1.008 -1.077 2.309
Cr -0.284 0.229 0.364
Ta -1.891 1.524 2.429
Y -3.330 0.795 5.293

---

Record 17
4
Lattice="4.291 0.000 0.000 0.000 2.913 0.020 0.000 1.432 5.679" Properties=species:S:1:pos:R:3 comment="PBE CdHgRu2, optimized geometry" space_group="Pm, No. 6" magnetic_moment_mub_per_atom=0.00 crystal_system=monoclinic formation_enthalpy_0k_ev_per_atom=0.46 pbc="T T T"
Ru 0.000 0.552 0.165
Ru 2.146 0.536 1.291
Cd 0.000 1.986 2.739
Hg 2.146 3.442 4.354

---

Record 18
10
Lattice="7.016 0.000 0.000 0.000 7.016 0.000 0.000 0.000 3.737" Properties=species:S:1:pos:R:3 comment="PBE Mg2CuAu2, optimized geometry" space_group="P4/mbm, No. 127" magnetic_moment_mub_per_atom=0.00 crystal_system=tetragonal formation_enthalpy_0k_ev_per_atom=-0.34 pbc="T T T"
Mg 2.382 1.126 1.869
Mg 1.126 4.634 1.869
Mg 5.890 2.382 1.869
Mg 4.634 5.890 1.869
Au 5.998 4.525 0.000
Au 1.017 2.490 0.000
Au 2.490 5.998 0.000
Au 4.525 1.017 0.000
Cu 3.508 3.508 0.000
Cu 0.000 0.000 0.000

---

Record 19
4
Lattice="3.522 0.000 0.000 1.761 3.050 0.000 1.761 1.017 9.375" Properties=species:S:1:pos:R:3 comment="PBE Th2NbCo, optimized geometry" space_group="R-3m, No. 166" magnetic_moment_mub_per_atom=0.00 crystal_system=trigonal formation_enthalpy_0k_ev_per_atom=0.58 pbc="T T T"
Co 3.522 2.033 4.687
Th 5.282 3.050 2.895
Th 1.761 1.017 6.480
Nb 0.000 0.000 0.000

---

Record 20
26
Lattice="-1.652 -1.937 -2.515 8.958 -6.784 -0.662 -7.951 -11.903 14.388" Properties=species:S:1:pos:R:3 comment="PBE Pm5Er6Sc2, optimized geometry" space_group="Pbam, No. 55" magnetic_moment_mub_per_atom=0.00 crystal_system=orthorhombic formation_enthalpy_0k_ev_per_atom=0.06 pbc="T T T"
Pm -4.802 -6.920 5.937
Pm 6.957 -8.242 -0.770
Pm 2.765 -8.669 2.313
Pm 0.625 -16.011 9.371
Pm 3.653 -4.360 -1.589
Pm -3.410 -11.954 8.899
Pm -1.270 -4.613 1.840
Pm -7.603 -12.381 11.982
Pm -0.372 -11.654 6.672
Pm -0.273 -8.970 4.540
Sc -0.198 -12.649 9.870
Sc 1.205 -6.038 3.857
Sc 6.255 -8.574 2.492
Sc -5.248 -10.113 11.234
Er -5.315 -9.305 8.110
Er -1.927 -8.502 7.812
Er 5.045 -5.914 1.240
Er -2.351 -14.964 10.520
Er 4.670 -11.319 3.101
Er -4.038 -12.773 12.487
Er 1.544 -2.169 0.655
Er -0.537 -16.518 13.071
Er 1.706 -5.659 0.691
Er -1.552 -5.693 5.403
Er 2.934 -10.185 5.914
Er 2.559 -12.994 8.324